Entry from Alexandria via LeMat-Bulk: a relaxed Zr2TlC crystal (PBE).

Lattice parameters (Å, degrees): 5.934 5.934 5.934 109.79 109.79 108.84
Fractional coordinates of all 8 atoms:
Zr1 0.038 0.625 0.913
Zr2 0.375 0.288 0.413
Zr3 0.712 0.125 0.087
Zr4 0.875 0.962 0.587
Tl1 0.250 0.750 0.500
Tl2 0.500 0.500 0.000
C1 0.000 0.000 0.000
C2 0.750 0.250 0.500

Output
DFT total energy = -0.2628 hartree per atom
Total magnetic moment = 0.00 Bohr magnetons per cell
Energy of formation from the pure elements = 0.020 eV/atom